Np3Pa5P8 after structural relaxation. Source: Alexandria via LeMat-Bulk, functional PBE-GGA.

SG: R-3m (166)
Formation enthalpy at 0 K: -1.164 eV/atom
VASP energy: -148.20 eV per cell

Cell lengths 7.935, 7.935, 7.923 Å; angles 59.95, 59.95, 60.00 degrees
Last column: magnetic moment on the atom in μB.
Sites, in units of the cell vectors:
Pa (0.000, 0.000, 0.000)  0.03
Pa (0.000, 0.500, 0.000)  0.12
Pa (0.500, 0.000, 0.000)  0.12
Pa (0.500, 0.500, 0.500)  0.02
Pa (0.500, 0.500, 0.000)  0.12
P (0.750, 0.750, 0.251)  -0.04
P (0.750, 0.750, 0.749)  -0.06
P (0.250, 0.250, 0.749)  -0.04
P (0.250, 0.751, 0.749)  -0.04
P (0.249, 0.750, 0.251)  -0.04
P (0.751, 0.250, 0.749)  -0.04
P (0.750, 0.249, 0.251)  -0.04
P (0.250, 0.250, 0.251)  -0.06
Np (0.500, 0.000, 0.500)  3.55
Np (0.000, 0.000, 0.500)  3.55
Np (0.000, 0.500, 0.500)  3.55

Si23Sn3 after structural relaxation. Source: Alexandria via LeMat-Bulk, functional PBE-GGA.

SG: Pm-3n (223)
VASP energy: -264.52 eV per cell

Cell lengths 10.189, 10.189, 10.189 Å; angles 90.00, 90.00, 90.00 degrees
Sites, in units of the cell vectors:
Sn (0.000, 0.500, 0.750)
Sn (0.500, 0.750, 0.000)
Sn (0.750, 0.000, 0.500)
Sn (0.000, 0.500, 0.250)
Sn (0.250, 0.000, 0.500)
Sn (0.500, 0.250, 0.000)
Si (0.250, 0.500, 0.000)
Si (0.184, 0.816, 0.816)
Si (0.691, 0.000, 0.117)
Si (0.816, 0.184, 0.816)
Si (0.617, 0.500, 0.191)
Si (0.816, 0.816, 0.184)
Si (0.809, 0.383, 0.500)
Si (0.000, 0.250, 0.500)
Si (0.000, 0.883, 0.691)
Si (0.617, 0.500, 0.809)
Si (0.684, 0.684, 0.316)
Si (0.316, 0.684, 0.684)
Si (0.816, 0.816, 0.816)
Si (0.500, 0.809, 0.383)
Si (0.691, 0.000, 0.883)
Si (0.750, 0.500, 0.000)
Si (0.883, 0.691, 0.000)
Si (0.816, 0.184, 0.184)
Si (0.117, 0.691, 0.000)
Si (0.184, 0.816, 0.184)
Si (0.316, 0.316, 0.684)
Si (0.383, 0.500, 0.191)
Si (0.000, 0.883, 0.309)
Si (0.500, 0.191, 0.383)
Si (0.684, 0.316, 0.316)
Si (0.191, 0.617, 0.500)
Si (0.684, 0.684, 0.684)
Si (0.316, 0.684, 0.316)
Si (0.684, 0.316, 0.684)
Si (0.309, 0.000, 0.117)
Si (0.117, 0.309, 0.000)
Si (0.184, 0.184, 0.184)
Si (0.500, 0.809, 0.617)
Si (0.500, 0.000, 0.250)
Si (0.000, 0.117, 0.691)
Si (0.000, 0.750, 0.500)
Si (0.309, 0.000, 0.883)
Si (0.184, 0.184, 0.816)
Si (0.809, 0.617, 0.500)
Si (0.883, 0.309, 0.000)
Si (0.316, 0.316, 0.316)
Si (0.383, 0.500, 0.809)
Si (0.000, 0.117, 0.309)
Si (0.500, 0.191, 0.617)
Si (0.191, 0.383, 0.500)
Si (0.500, 0.000, 0.750)